No. 1
Material: BaTc2Cl
Method: DFT, PBE
State: optimized geometry

Results
Energy relative to the elements, uncorrected   0.30 eV/atom
Density of states at the Fermi level   5.654 states/eV/cell
M_tot   0.00 μB per formula unit
Theoretical density   5352 kg/m³
E   -5.826 eV per atom

Cell and atoms, written as POSCAR:
```
BaTc2Cl
1.0
3.592 0.000 0.000
0.000 6.619 0.000
-0.008 0.000 4.813
Ba Tc Cl
1 2 1
Cartesian
0.000 0.000 0.000
0.877 3.309 4.095
2.706 3.309 0.718
1.792 0.000 2.407
```

No. 2
Material: Ba2TcCl
Method: DFT, PBE
State: optimized geometry

Results
Energy relative to the elements, uncorrected   0.48 eV/atom
Density of states at the Fermi level   5.497 states/eV/cell
M_tot   2.19 μB per formula unit
Theoretical density   5401 kg/m³
E   -3.530 eV per atom

Cell and atoms, written as POSCAR:
```
Ba2TcCl
1.0
0.000 3.973 3.973
3.973 0.000 3.973
3.973 3.973 0.000
Ba Tc Cl
2 1 1
Cartesian
0.000 0.000 0.000
1.987 1.987 1.987
5.960 5.960 5.960
3.973 3.973 3.973
```

No. 3
Material: Ba2TcCl
Method: DFT, PBE
State: optimized geometry

Results
Energy relative to the elements, uncorrected   0.09 eV/atom
Density of states at the Fermi level   5.289 states/eV/cell
M_tot   2.21 μB per formula unit
Theoretical density   4844 kg/m³
E   -3.926 eV per atom

Cell and atoms, written as POSCAR:
```
Ba2TcCl
1.0
-2.252 2.252 6.899
2.252 -2.252 6.899
2.252 2.252 -6.899
Ba Tc Cl
2 1 1
Cartesian
0.000 0.000 0.000
0.000 2.252 3.449
0.000 0.000 6.899
2.252 0.000 3.449
```

No. 4
Material: BaTc2Cl
Method: DFT, PBE
State: optimized geometry

Results
Energy relative to the elements, uncorrected   0.26 eV/atom
Density of states at the Fermi level   3.697 states/eV/cell
M_tot   0.00 μB per formula unit
Theoretical density   5831 kg/m³
E   -5.861 eV per atom

Cell and atoms, written as POSCAR:
```
BaTc2Cl
1.0
6.454 -1.730 0.000
6.454 1.730 0.000
-1.864 0.000 4.703
Ba Tc Cl
1 2 1
Cartesian
0.000 0.000 0.000
1.382 0.000 3.949
9.661 0.000 0.754
5.521 0.000 2.352
```

No. 5
Material: BaTc2Cl
Method: DFT, PBE
State: optimized geometry

Results
Energy relative to the elements, uncorrected   1.22 eV/atom
Density of states at the Fermi level   4.638 states/eV/cell
M_tot   2.15 μB per formula unit
Theoretical density   7699 kg/m³
E   -4.907 eV per atom

Cell and atoms, written as POSCAR:
```
BaTc2Cl
1.0
1.530 0.883 9.808
-1.530 0.883 9.808
0.000 -1.767 9.808
Ba Tc Cl
1 2 1
Cartesian
0.000 0.000 0.000
0.000 0.000 6.850
0.000 0.000 22.574
0.000 0.000 14.712
```

No. 6
Material: BaTc2Cl
Method: DFT, PBE
State: optimized geometry

Results
Energy relative to the elements, uncorrected   1.05 eV/atom
Density of states at the Fermi level   4.223 states/eV/cell
M_tot   1.73 μB per formula unit
Theoretical density   6338 kg/m³
E   -5.080 eV per atom

Cell and atoms, written as POSCAR:
```
BaTc2Cl
1.0
2.669 -6.106 0.000
2.669 6.106 0.000
0.000 0.000 2.965
Ba Tc Cl
1 2 1
Cartesian
0.000 0.000 0.000
1.335 3.053 1.482
1.335 -3.053 1.482
2.669 0.000 0.000
```

> Which value of density of states at the Fermi level does entry 4 give?

3.697 states/eV/cell

> The lowest density of states at the Fermi level belongs to which entry?

number 4

> Which formula does entry 6 have?

BaTc2Cl